# 1
VASP calculation (PBE-GGA) on crystalline PrDy8Y2 at its relaxed geometry.

The structure belongs to space group Immm (No. 71); the cell edges are 5.536, 8.123 and 15.974 Å and the angles 90.00°, 90.00° and 90.00°. Symmetry generates all atoms from Pr at (0.000, 0.000, 0.000), Dy at (0.000, 0.205, 0.500), Dy at (0.000, 0.294, 0.138), Dy at (0.000, 0.500, 0.336) and Y at (0.000, 0.000, 0.300).

The value obtained for the final energy is -4.839 eV/atom. For the energy of formation, the calculation gives 118 meV per atom. The calculation puts the offset from the most stable computed form at 0.0000 eV/atom.

---

# 2
VASP calculation (PBE-GGA) on crystalline Rb2PdNCl6 at its relaxed geometry.

The structure belongs to space group I4/mmm (No. 139); the cell edges are 7.752, 7.752 and 9.094 Å and the angles 90.00°, 90.00° and 90.00°. Symmetry generates all atoms from Rb at (0.000, 0.500, 0.250), Pd at (0.000, 0.000, 0.000), N at (0.000, 0.000, 0.500), Cl at (0.000, 0.000, 0.281) and Cl at (0.214, 0.214, 0.000).

The value obtained for the final energy is -3.230 eV/atom. As for the raw formation energy: -0.58 eV per atom.

---

# 3
VASP calculation (PBE-GGA) on crystalline Pm12SiNi6 at its relaxed geometry.

The structure belongs to space group Im-3 (No. 204); the cell edges are 9.904, 9.904 and 9.904 Å and the angles 90.00°, 90.00° and 90.00°. Symmetry generates all atoms from Pm at (0.000, 0.185, 0.303), Si at (0.000, 0.000, 0.000) and Ni at (0.000, 0.377, 0.500).

The value obtained for the final energy is -5.383 eV/atom. As for the raw formation energy: -0.27 eV per atom.

---

# 4
VASP calculation (PBE-GGA) on crystalline Sm2OF at its relaxed geometry.

The structure belongs to space group R-3m (No. 166, hexagonal axes); the cell edges are 3.6023, 3.6023 and 17.8743 Å and the angles 90.00°, 90.00° and 120.00°. Symmetry generates all atoms from Sm at (0.0000, 0.0000, 0.2402), O at (0.0000, 0.0000, 0.5000) and F at (0.0000, 0.0000, 0.0000).

The value obtained for the final energy is -6.497 eV/atom. As for the raw formation energy: -2.43 eV per atom.

---

# 5
VASP calculation (PBE-GGA) on crystalline ThNi9Pt2 at its relaxed geometry.

The structure belongs to space group P4/mbm (No. 127); the cell edges are 8.108, 8.108 and 4.829 Å and the angles 90.00°, 90.00° and 90.00°. Symmetry generates all atoms from Th at (0.000, 0.000, 0.000), Ni at (0.000, 0.500, 0.500), Ni at (0.067, 0.210, 0.500), Ni at (0.176, 0.676, 0.243) and Pt at (0.120, 0.380, 0.000).

The value obtained for the final energy is -6.247 eV/atom. For the energy of formation, the calculation gives -286 meV per atom.

---

# 6
VASP calculation (PBE-GGA) on crystalline KHg2Ge at its relaxed geometry.

The structure belongs to space group R-3m (No. 166, hexagonal axes); the cell edges are 4.8167, 4.8167 and 18.4242 Å and the angles 90.00°, 90.00° and 120.00°. Symmetry generates all atoms from K at (0.0000, 0.0000, 0.0000), Hg at (0.0000, 0.0000, 0.2152) and Ge at (0.0000, 0.0000, 0.5000).

The value obtained for the final energy is -1.629 eV/atom. For the energy of formation, the calculation gives -49 meV per atom.

---

# 7
VASP calculation (PBE-GGA) on crystalline Zn2CrReAs at its relaxed geometry.

The structure belongs to space group P4/mmm (No. 123); the cell edges are 4.856, 4.856 and 4.566 Å and the angles 90.00°, 90.00° and 90.00°. Symmetry generates all atoms from Zn at (0.000, 0.500, 0.000), Cr at (0.000, 0.000, 0.500), Re at (0.000, 0.000, 0.000) and As at (0.500, 0.500, 0.500).

The value obtained for the final energy is -4.687 eV/atom. For the energy of formation, the calculation gives 1167 meV per atom.

---

# 8
VASP calculation (PBE-GGA) on crystalline YCuTe3 at its relaxed geometry.

The structure belongs to space group Pm-3m (No. 221); the cell edges are 5.808, 5.808 and 5.808 Å and the angles 90.00°, 90.00° and 90.00°. Symmetry generates all atoms from Y at (0.000, 0.000, 0.000), Cu at (0.500, 0.500, 0.500) and Te at (0.000, 0.000, 0.500).

The value obtained for the final energy is -3.760 eV/atom. As for the raw formation energy: 0.24 eV per atom. The calculation puts the offset from the most stable computed form at 0.4406 eV/atom.

---

# 9
VASP calculation (PBE-GGA) on crystalline TbYOsRh at its relaxed geometry.

The structure belongs to space group F-43m (No. 216); the cell edges are 6.858, 6.858 and 6.858 Å and the angles 90.00°, 90.00° and 90.00°. Symmetry generates all atoms from Tb at (0.000, 0.000, 0.000), Y at (0.000, 0.000, 0.500), Os at (0.250, 0.250, 0.750) and Rh at (0.250, 0.250, 0.250).

The value obtained for the final energy is -7.857 eV/atom. For the energy of formation, the calculation gives -438 meV per atom.

---

# 10
VASP calculation (PBE-GGA) on crystalline CsNpIn2I6 at its relaxed geometry.

The structure belongs to space group R3 (No. 146, hexagonal axes); the cell edges are 8.7169, 8.7169 and 23.6007 Å and the angles 90.00°, 90.00° and 120.00°. Symmetry generates all atoms from Cs at (0.0000, 0.0000, 0.0000), Np at (0.0000, 0.0000, 0.4824), In at (0.0000, 0.0000, 0.2917), In at (0.0000, 0.0000, 0.8068), I at (0.0122, 0.3039, 0.5550) and I at (0.0328, 0.6151, 0.0636).

The value obtained for the final energy is -3.699 eV/atom. As for the raw formation energy: -0.84 eV per atom.

---

# 11
VASP calculation (PBE-GGA) on crystalline ReSbTe2Ru at its relaxed geometry.

The structure belongs to space group P4/mmm (No. 123); the cell edges are 5.177, 5.177 and 4.980 Å and the angles 90.00°, 90.00° and 90.00°. Symmetry generates all atoms from Re at (0.000, 0.000, 0.000), Sb at (0.500, 0.500, 0.000), Te at (0.000, 0.500, 0.500) and Ru at (0.500, 0.500, 0.500).

The value obtained for the final energy is -5.026 eV/atom. As for the raw formation energy: 1.40 eV per atom. The calculation puts the offset from the most stable computed form at 0.0000 eV/atom.

---

# 12
VASP calculation (PBE-GGA) on crystalline Ti2BiCl at its relaxed geometry.

The structure belongs to space group I-42d (No. 122); the cell edges are 5.175, 5.175 and 15.237 Å and the angles 90.00°, 90.00° and 90.00°. Symmetry generates all atoms from Ti at (0.167, 0.250, 0.125), Bi at (0.000, 0.000, 0.500) and Cl at (0.000, 0.000, 0.000).

The value obtained for the final energy is -5.341 eV/atom. As for the raw formation energy: 0.04 eV per atom. The calculation puts the offset from the most stable computed form at 0.1816 eV/atom.

---

# 13
VASP calculation (PBE-GGA) on crystalline Ce2ErF11 at its relaxed geometry.

The structure belongs to space group Ibam (No. 72); the cell edges are 8.377, 10.358 and 10.893 Å and the angles 90.00°, 90.00° and 90.00°. Symmetry generates all atoms from Ce at (0.150, 0.183, 0.000), Er at (0.000, 0.500, 0.250), F at (0.000, 0.000, 0.000), F at (0.093, 0.328, 0.142), F at (0.126, 0.212, 0.500) and F at (0.213, 0.428, 0.362).

The value obtained for the final energy is -6.481 eV/atom. As for the raw formation energy: -3.84 eV per atom.

---

# 14
VASP calculation (PBE-GGA) on crystalline BeZnMo2 at its relaxed geometry.

The structure belongs to space group I-4m2 (No. 119); the cell edges are 3.716, 3.716 and 7.992 Å and the angles 90.00°, 90.00° and 90.00°. Symmetry generates all atoms from Be at (0.000, 0.000, 0.000), Zn at (0.000, 0.500, 0.250), Mo at (0.000, 0.000, 0.500) and Mo at (0.000, 0.500, 0.750).

The value obtained for the final energy is -6.499 eV/atom. For the energy of formation, the calculation gives 167 meV per atom. The calculation puts the offset from the most stable computed form at 0.0843 eV/atom.

---

# 15
VASP calculation (PBE-GGA) on crystalline Tb4OsPt at its relaxed geometry.

The structure belongs to space group C2/c (No. 15); the cell edges are 9.030, 13.031 and 6.327 Å and the angles 90.00°, 123.18° and 90.00°. Symmetry generates all atoms from Tb at (0.125, 0.174, 0.094), Tb at (0.201, 0.436, 0.274), Os at (0.000, 0.002, 0.750) and Pt at (0.000, 0.363, 0.750).

The value obtained for the final energy is -6.552 eV/atom. For the energy of formation, the calculation gives -586 meV per atom. The calculation puts the offset from the most stable computed form at 0.0000 eV/atom.

---

# 16
VASP calculation (PBE-GGA) on crystalline ReHgW at its relaxed geometry.

The structure belongs to space group Imm2 (No. 44); the cell edges are 2.853, 4.073 and 8.714 Å and the angles 90.00°, 90.00° and 90.00°. Symmetry generates all atoms from Re at (0.000, 0.000, 0.000), Hg at (0.000, 0.000, 0.325) and W at (0.000, 0.000, 0.648).

The value obtained for the final energy is -7.874 eV/atom. For the energy of formation, the calculation gives 693 meV per atom. The calculation puts the offset from the most stable computed form at 0.1162 eV/atom.

---

# 17
VASP calculation (PBE-GGA) on crystalline TlFeAs at its relaxed geometry.

The structure belongs to space group P4mm (No. 99); the cell edges are 3.094, 3.094 and 6.141 Å and the angles 90.00°, 90.00° and 90.00°. Symmetry generates all atoms from Tl at (0.000, 0.000, 0.000), Fe at (0.500, 0.500, 0.339) and As at (0.000, 0.000, 0.524).

The value obtained for the final energy is -4.958 eV/atom. For the energy of formation, the calculation gives 202 meV per atom. The calculation puts the offset from the most stable computed form at 0.2504 eV/atom.

---

# 18
VASP calculation (PBE-GGA) on crystalline CsMn2NiI8 at its relaxed geometry.

The structure belongs to space group R32 (No. 155, hexagonal axes); the cell edges are 7.1549, 7.1549 and 33.9378 Å and the angles 90.00°, 90.00° and 120.00°. Symmetry generates all atoms from Cs at (0.0000, 0.0000, 0.0000), Mn at (0.0000, 0.0000, 0.2419), Ni at (0.0000, 0.0000, 0.5000), I at (0.0000, 0.0000, 0.3189) and I at (0.0062, 0.3042, 0.5544).

The value obtained for the final energy is -3.514 eV/atom. As for the raw formation energy: -0.40 eV per atom.

---

# 19
VASP calculation (PBE-GGA) on crystalline Ho2MnGa4Ir3 at its relaxed geometry.

The structure belongs to space group P-4m2 (No. 115); the cell edges are 3.971, 3.971 and 11.379 Å and the angles 90.00°, 90.00° and 90.00°. Symmetry generates all atoms from Ho at (0.000, 0.500, 0.249), Mn at (0.000, 0.000, 0.500), Ga at (0.000, 0.000, 0.000), Ga at (0.000, 0.500, 0.638), Ga at (0.500, 0.500, 0.000), Ir at (0.000, 0.500, 0.858) and Ir at (0.500, 0.500, 0.500).

The value obtained for the final energy is -6.325 eV/atom. For the energy of formation, the calculation gives -623 meV per atom.

---

# 20
VASP calculation (PBE-GGA) on crystalline PSe2Br at its relaxed geometry.

The structure belongs to space group P4/mmm (No. 123); the cell edges are 4.873, 4.873 and 3.417 Å and the angles 90.00°, 90.00° and 90.00°. Symmetry generates all atoms from P at (0.000, 0.000, 0.000), Se at (0.000, 0.500, 0.500) and Br at (0.500, 0.500, 0.000).

The value obtained for the final energy is -2.668 eV/atom. As for the raw formation energy: 0.85 eV per atom. The calculation puts the offset from the most stable computed form at 0.8644 eV/atom.

---

The following V values (in A^3/atom) correspond, in order, to the records above: 32.65, 27.32, 25.57, 16.74, 13.23, 30.85, 21.54, 39.18, 20.16, 51.77, 26.70, 25.50, 16.88, 13.80, 25.97, 16.87, 19.60, 41.79, 17.94, 20.28.
The following Fermi-level density of states values (in states/eV/f.u.) correspond, in order, to the records above: 16.0, 1.4, 18.3, 2.0, 18.1, 2.9, 3.7, 8.5, 2.9, 4.1, 5.1, 5.2, 0.0, 2.4, 5.6, 2.1, 1.5, 8.6, 5.4, 3.1.